1.
Cr2TcIr | GGA-PBEsol | optimized geometry

Structure (extended XYZ):
```
4
Lattice="-0.8355 0.7438 -2.3785 -2.6702 -3.6443 -0.2017 -2.3347 2.4575 3.0408" Properties=species:S:1:pos:R:3 pbc="T T T"
Cr -3.3648 -1.3182 0.7697
Ir -1.8040 -1.4813 -1.2818
Tc -2.4500 0.9218 -0.3035
Cr -5.8150 -0.4589 0.4468
```

Calculated values
Total moment ... 0.00 μB/f.u.
Energy ... -10.3594 eV per atom
Calculated formation energy ... 0.034 eV/atom

***

2.
CrTeIr | GGA-PBEsol | optimized geometry

Structure (extended XYZ):
```
6
Lattice="-1.8115 -3.1538 -0.8869 0.5610 -1.3195 3.5462 -6.1752 4.9738 2.8276" Properties=species:S:1:pos:R:3 pbc="T T T"
Te -5.5101 0.3693 2.0407
Ir -6.7909 0.4586 4.3395
Ir -0.6348 0.0419 1.1475
Cr -1.0873 -2.2776 2.4190
Te -1.9155 0.1312 3.4463
Cr -6.3384 2.7781 3.0679
```

Calculated values
Total moment ... 0.00 μB/f.u.
Energy ... -8.0952 eV per atom

***

3.
CrTeIr2 | GGA-PBEsol | optimized geometry

Structure (extended XYZ):
```
4
Lattice="-1.9017 0.5176 2.1005 0.8665 -4.1872 1.8162 3.3837 1.8330 2.6116" Properties=species:S:1:pos:R:3 pbc="T T T"
Te -0.5176 -1.8348 1.9583
Ir 0.0000 0.0000 0.0000
Ir 0.7410 1.1753 2.3561
Cr 2.1251 -1.1771 2.2139
```

Calculated values
Total moment ... 2.30 μB/f.u.
Energy ... -7.9042 eV per atom

***

4.
CrTeIr2 | GGA-PBEsol | optimized geometry

Structure (extended XYZ):
```
4
Lattice="-3.6470 -2.3858 0.7253 -1.3131 -2.9885 -2.9772 0.3250 -4.3118 0.9067" Properties=species:S:1:pos:R:3 pbc="T T T"
Ir 0.0000 0.0000 0.0000
Ir -3.4763 -7.2646 -1.0088
Te -1.1588 -2.4215 -0.3363
Cr -2.3176 -4.8430 -0.6726
```

Calculated values
Total moment ... 0.70 μB/f.u.
Energy ... -7.8113 eV per atom